No. 1
Density functional theory data (PBE) for an optimized crystal structure of Pr2ZnAs4Ir3.

Geometry as CIF:
```
data_Pr2ZnAs4Ir3
_space_group_name_H-M_alt 'P 1'
_space_group_IT_number 1
_cell_length_a 4.380
_cell_length_b 4.380
_cell_length_c 10.036
_cell_angle_alpha 90.00
_cell_angle_beta 90.00
_cell_angle_gamma 90.00
loop_
_space_group_symop_operation_xyz
'x,y,z'
loop_
_atom_site_label
_atom_site_fract_x
_atom_site_fract_y
_atom_site_fract_z
Pr1 0.500 0.000 0.243
Pr2 0.000 0.500 0.757
Zn1 0.500 0.500 0.500
As1 0.500 0.500 0.000
As2 0.000 0.000 0.000
As3 0.500 0.000 0.638
As4 0.000 0.500 0.362
Ir1 0.000 0.000 0.500
Ir2 0.500 0.000 0.884
Ir3 0.000 0.500 0.116
```

Calculated values
E_form   -0.693 eV per atom
Space-group type   P-4m2

No. 2
Density functional theory data (PBE) for an optimized crystal structure of AsIr2Pt.

Geometry as CIF:
```
data_AsIr2Pt
_space_group_name_H-M_alt 'P 1'
_space_group_IT_number 1
_cell_length_a 3.905
_cell_length_b 2.847
_cell_length_c 5.743
_cell_angle_alpha 75.87
_cell_angle_beta 90.00
_cell_angle_gamma 90.00
loop_
_space_group_symop_operation_xyz
'x,y,z'
loop_
_atom_site_label
_atom_site_fract_x
_atom_site_fract_y
_atom_site_fract_z
As1 0.500 0.539 0.792
Ir1 0.000 0.947 0.978
Ir2 0.500 0.319 0.237
Pt1 0.000 0.695 0.493
```

Calculated values
E_form   0.162 eV per atom
Space-group type   Pm

| no. | calculated total energy (eV/atom) | spin magnetization (μB per formula unit) |
| --- | --- | --- |
| 1 | -6.294 | 0.00 |
| 2 | -6.941 | 0.00 |